[1]
Entry from the Alexandria database: a geometry-optimized B3H2Rh5 structure (PBE).

a = 5.629 Å, b = 5.629 Å, c = 6.004 Å
α = 109.81°, β = 109.81°, γ = 34.02°
Fractional coordinates of all 10 atoms:
B  0.000  0.000  0.000
B  0.207  0.207  0.726
B  0.793  0.793  0.274
H  0.480  0.480  0.634
H  0.520  0.520  0.366
Rh  0.000  0.000  0.500
Rh  0.190  0.190  0.302
Rh  0.390  0.390  0.088
Rh  0.610  0.610  0.912
Rh  0.810  0.810  0.698

Output
Total moment ... 0.000 μB per formula unit
Symmetry ... C2/m
Volume ... 99.5 Å³/f.u.
Uncorrected energy ... -6.51 eV/atom

***

[2]
Entry from the Alexandria database: a geometry-optimized Pu2SiNi4Ge3 structure (PBE).

a = 4.086 Å, b = 4.086 Å, c = 9.592 Å
α = 90.00°, β = 90.00°, γ = 90.00°
Fractional coordinates of all 10 atoms:
Pu  0.000  0.500  0.249
Pu  0.500  0.000  0.751
Si  0.500  0.500  0.000
Ni  0.000  0.000  0.500
Ni  0.000  0.500  0.879
Ni  0.500  0.000  0.121
Ni  0.500  0.500  0.500
Ge  0.000  0.000  0.000
Ge  0.000  0.500  0.632
Ge  0.500  0.000  0.368

Output
Total moment ... 10.603 μB per formula unit
Symmetry ... P-4m2
Volume ... 160.1 Å³/f.u.
Uncorrected energy ... -7.64 eV/atom

***

[3]
Entry from the Alexandria database: a geometry-optimized Pr2TmP3Rh12 structure (PBE).

a = 6.765 Å, b = 6.765 Å, c = 6.765 Å
α = 83.77°, β = 83.77°, γ = 83.77°
Fractional coordinates of all 18 atoms:
Pr  0.126  0.126  0.126
Pr  0.874  0.874  0.874
Tm  0.500  0.500  0.500
P  0.000  0.500  0.500
P  0.500  0.000  0.500
P  0.500  0.500  0.000
Rh  0.137  0.137  0.587
Rh  0.137  0.587  0.137
Rh  0.167  0.676  0.676
Rh  0.324  0.324  0.833
Rh  0.324  0.833  0.324
Rh  0.413  0.863  0.863
Rh  0.587  0.137  0.137
Rh  0.676  0.167  0.676
Rh  0.676  0.676  0.167
Rh  0.833  0.324  0.324
Rh  0.863  0.413  0.863
Rh  0.863  0.863  0.413

Output
Total moment ... 0.000 μB per formula unit
Symmetry ... R-3m
Volume ... 304.5 Å³/f.u.
Uncorrected energy ... -6.91 eV/atom
ΔH_f (0 K) ... -0.33 eV/atom

***

[4]
Entry from the Alexandria database: a geometry-optimized TiCdRe2N structure (PBE).

a = 3.991 Å, b = 3.991 Å, c = 4.830 Å
α = 90.00°, β = 90.00°, γ = 90.00°
Fractional coordinates of all 5 atoms:
Ti  0.000  0.000  0.000
Cd  0.500  0.500  0.000
Re  0.000  0.500  0.500
Re  0.500  0.000  0.500
N  0.500  0.500  0.500

Output
Total moment ... 0.000 μB per formula unit
Polymorph energy (0 for the lowest one) ... 0.0 kJ per mole of atoms
Symmetry ... P4/mmm
Volume ... 76.9 Å³/f.u.
Uncorrected energy ... -7.96 eV/atom